Material: CdHgW
Method: DFT, PBE
State: optimized geometry

Unit cell a=2.8703 b=2.8703 c=14.0014 alpha=90.00 beta=90.00 gamma=90.00
With the nearest neighbours (Å) after each atom.
Positions (direct):
Cd: 0.0000 0.0000 0.0000  4 Cd 2.87, 4 W 3.00
Cd: 0.5000 0.5000 0.5000  4 Cd 2.87, 4 W 3.00
Hg: 0.0000 0.0000 0.6808  4 Hg 2.87, 4 W 3.03
Hg: 0.5000 0.5000 0.1808  4 Hg 2.87, 4 W 3.03
W: 0.0000 0.0000 0.3419  4 W 2.87, 4 Cd 3.00, 4 Hg 3.03
W: 0.5000 0.5000 0.8419  4 W 2.87, 4 Cd 3.00, 4 Hg 3.03

Results
Energy above the lowest structure with this stoichiometry = 34 meV/atom
Calculated volume = 115 Å³/cell
Magnetization = 0.00 μB per cell
Calculated density = 14.3 g cm⁻³
Calculated formation energy = 1.95 eV/f.u.

***

Material: CdHgW
Method: DFT, PBE
State: optimized geometry

Unit cell a=6.4740 b=6.4740 c=6.4740 alpha=90.00 beta=90.00 gamma=90.00
With the nearest neighbours (Å) after each atom.
Positions (direct):
Cd: 0.0000 0.0000 0.0000  4 Hg 2.80
Cd: 0.0000 0.5000 0.5000  4 Hg 2.80
Cd: 0.5000 0.0000 0.5000  4 Hg 2.80
Cd: 0.5000 0.5000 0.0000  4 Hg 2.80
Hg: 0.2500 0.2500 0.7500  4 Cd 2.80, 4 W 2.80
Hg: 0.2500 0.7500 0.2500  4 Cd 2.80, 4 W 2.80
Hg: 0.7500 0.2500 0.2500  4 Cd 2.80, 4 W 2.80
Hg: 0.7500 0.7500 0.7500  4 Cd 2.80, 4 W 2.80
W: 0.0000 0.0000 0.5000  4 Hg 2.80
W: 0.0000 0.5000 0.0000  4 Hg 2.80
W: 0.5000 0.0000 0.0000  4 Hg 2.80
W: 0.5000 0.5000 0.5000  4 Hg 2.80

Results
Energy above the lowest structure with this stoichiometry = 764 meV/atom
Calculated volume = 271 Å³/cell
Magnetization = 7.93 μB per cell
Calculated density = 12.2 g cm⁻³
Calculated formation energy = 4.14 eV/f.u.

***

Material: Cd2HgW
Method: DFT, PBE
State: optimized geometry

Unit cell a=2.8960 b=2.8960 c=9.6198 alpha=90.00 beta=90.00 gamma=90.00
With the nearest neighbours (Å) after each atom.
Positions (direct):
Cd: 0.0000 0.0000 0.2281  4 Cd 2.90, 4 W 3.00
Cd: 0.0000 0.0000 0.7719  4 Cd 2.90, 4 W 3.00
Hg: 0.5000 0.5000 0.5000  4 Hg 2.90
W: 0.5000 0.5000 0.0000  4 W 2.90, 8 Cd 3.00

Results
Calculated volume = 81 Å³/cell
Magnetization = 0.00 μB per cell
Calculated density = 12.5 g cm⁻³
Calculated formation energy = 1.78 eV/f.u.

***

Material: Cd2HgW
Method: DFT, PBE
State: optimized geometry

Unit cell a=2.9134 b=4.4505 c=6.0836 alpha=90.00 beta=90.00 gamma=90.00
With the nearest neighbours (Å) after each atom.
Positions (direct):
Cd: 0.0000 0.0000 0.0000  1 Hg 2.84, 6 Cd 2.91-3.10, 4 W 3.02
Cd: 0.5000 0.5000 0.2606  6 Cd 2.91-3.10, 2 W 3.01-3.07, 4 Hg 3.13
Hg: 0.0000 0.0000 0.5325  5 Cd 2.84-3.13, 2 Hg 2.91, 4 W 3.01
W: 0.5000 0.5000 0.7652  2 W 2.91, 4 Hg 3.01, 6 Cd 3.01-3.07

Results
Calculated volume = 79 Å³/cell
Magnetization = 0.01 μB per cell
Calculated density = 12.8 g cm⁻³
Calculated formation energy = 2.62 eV/f.u.

***

Material: CdHgW3
Method: DFT, PBE
State: optimized geometry

Unit cell a=4.9436 b=4.9436 c=4.9436 alpha=90.00 beta=90.00 gamma=90.00
With the nearest neighbours (Å) after each atom.
Positions (direct):
Cd: 0.0000 0.0000 0.0000  12 W 3.50
Hg: 0.5000 0.5000 0.5000  6 W 2.47
W: 0.0000 0.5000 0.5000  2 Hg 2.47
W: 0.5000 0.0000 0.5000  2 Hg 2.47
W: 0.5000 0.5000 0.0000  2 Hg 2.47

Results
Energy above the lowest structure with this stoichiometry = 8 meV/atom
Calculated volume = 121 Å³/cell
Magnetization = 0.00 μB per cell
Calculated density = 11.9 g cm⁻³
Calculated formation energy = 14.84 eV/f.u.

***

Material: CdHgW3
Method: DFT, PBE
State: optimized geometry

Unit cell a=4.8604 b=4.8604 c=4.8604 alpha=90.00 beta=90.00 gamma=90.00
With the nearest neighbours (Å) after each atom.
Positions (direct):
Cd: 0.0000 0.0000 0.0000  6 W 2.43
Hg: 0.5000 0.5000 0.5000  12 W 3.44
W: 0.0000 0.0000 0.5000  2 Cd 2.43
W: 0.0000 0.5000 0.0000  2 Cd 2.43
W: 0.5000 0.0000 0.0000  2 Cd 2.43

Results
Energy above the lowest structure with this stoichiometry = 0 meV/atom
Calculated volume = 115 Å³/cell
Magnetization = 0.00 μB per cell
Calculated density = 12.5 g cm⁻³
Calculated formation energy = 14.80 eV/f.u.

***

Material: Cd2HgW
Method: DFT, PBE
State: optimized geometry

Unit cell a=2.8747 b=5.0213 c=5.4784 alpha=90.00 beta=94.22 gamma=90.00
With the nearest neighbours (Å) after each atom.
Positions (direct):
Cd: 0.2057 0.0000 0.2355  3 Cd 2.76-2.87, 2 W 2.97, 2 Hg 2.98
Cd: 0.7943 0.0000 0.7645  3 Cd 2.76-2.87, 2 W 2.97, 2 Hg 2.98
Hg: 0.0000 0.5000 0.5000  2 Hg 2.87, 4 Cd 2.98, 4 W 3.00-3.19
W: 0.5000 0.5000 0.0000  2 W 2.87, 4 Cd 2.97, 4 Hg 3.00-3.19

Results
Calculated volume = 79 Å³/cell
Magnetization = 0.00 μB per cell
Calculated density = 12.8 g cm⁻³
Calculated formation energy = 2.59 eV/f.u.

***

Material: Cd2HgW
Method: DFT, PBE
State: optimized geometry

Unit cell a=2.9963 b=2.9963 c=30.9495 alpha=90.00 beta=90.00 gamma=120.00
With the nearest neighbours (Å) after each atom.
Positions (direct):
Cd: 0.0000 0.0000 0.0000  3 W 2.95, 9 Cd 3.00-3.25
Cd: 0.0000 0.0000 0.2445  9 Cd 3.00-3.25, 3 Hg 3.28
Cd: 0.3333 0.6667 0.6667  3 W 2.95, 9 Cd 3.00-3.25
Cd: 0.3333 0.6667 0.9111  9 Cd 3.00-3.25, 3 Hg 3.28
Cd: 0.6667 0.3333 0.3333  3 W 2.95, 9 Cd 3.00-3.25
Cd: 0.6667 0.3333 0.5778  9 Cd 3.00-3.25, 3 Hg 3.28
Hg: 0.0000 0.0000 0.4878  3 W 2.95, 6 Hg 3.00, 3 Cd 3.28
Hg: 0.3333 0.6667 0.1544  3 W 2.95, 6 Hg 3.00, 3 Cd 3.28
Hg: 0.6667 0.3333 0.8211  3 W 2.95, 6 Hg 3.00, 3 Cd 3.28
W: 0.0000 0.0000 0.7437  3 Cd 2.95, 3 Hg 2.95, 6 W 3.00
W: 0.3333 0.6667 0.4104  3 Cd 2.95, 3 Hg 2.95, 6 W 3.00
W: 0.6667 0.3333 0.0770  3 Cd 2.95, 3 Hg 2.95, 6 W 3.00

Results
Calculated volume = 241 Å³/cell
Magnetization = 0.00 μB per cell
Calculated density = 12.6 g cm⁻³
Calculated formation energy = 1.99 eV/f.u.

***

Material: CdHgW
Method: DFT, PBE
State: optimized geometry

Unit cell a=2.9731 b=2.9731 c=7.5210 alpha=90.00 beta=90.00 gamma=120.00
With the nearest neighbours (Å) after each atom.
Positions (direct):
Cd: 0.0000 0.0000 0.0000  3 W 2.96, 6 Cd 2.97, 3 Hg 3.18
Hg: 0.3333 0.6667 0.3561  3 W 2.97, 6 Hg 2.97, 3 Cd 3.18
W: 0.6667 0.3333 0.6787  3 Cd 2.96, 3 Hg 2.97, 6 W 2.97

Results
Energy above the lowest structure with this stoichiometry = 0 meV/atom
Calculated volume = 58 Å³/cell
Magnetization = 0.00 μB per cell
Calculated density = 14.3 g cm⁻³
Calculated formation energy = 1.85 eV/f.u.

***

Material: Cd2HgW
Method: DFT, PBE
State: optimized geometry

Unit cell a=7.7691 b=7.7691 c=5.7591 alpha=90.00 beta=90.00 gamma=90.00
With the nearest neighbours (Å) after each atom.
Positions (direct):
Cd: 0.2475 0.2500 0.1250  2 W 2.83, 2 Hg 2.85, 2 Cd 2.88
Cd: 0.2500 0.7475 0.3750  2 W 2.83, 2 Hg 2.85, 2 Cd 2.88
Cd: 0.2500 0.7525 0.8750  2 W 2.83, 2 Hg 2.85, 2 Cd 2.88
Cd: 0.2525 0.2500 0.6250  2 W 2.83, 2 Hg 2.85, 2 Cd 2.88
Cd: 0.7475 0.7500 0.6250  2 W 2.83, 2 Hg 2.85, 2 Cd 2.88
Cd: 0.7500 0.2475 0.8750  2 W 2.83, 2 Hg 2.85, 2 Cd 2.88
Cd: 0.7500 0.2525 0.3750  2 W 2.83, 2 Hg 2.85, 2 Cd 2.88
Cd: 0.7525 0.7500 0.1250  2 W 2.83, 2 Hg 2.85, 2 Cd 2.88
Hg: 0.0000 0.0000 0.5000  4 Cd 2.85, 2 W 2.88
Hg: 0.0000 0.5000 0.7500  4 Cd 2.85, 2 W 2.88
Hg: 0.5000 0.0000 0.2500  4 Cd 2.85, 2 W 2.88
Hg: 0.5000 0.5000 0.0000  4 Cd 2.85, 2 W 2.88
W: 0.0000 0.0000 0.0000  4 Cd 2.83, 2 Hg 2.88
W: 0.0000 0.5000 0.2500  4 Cd 2.83, 2 Hg 2.88
W: 0.5000 0.0000 0.7500  4 Cd 2.83, 2 Hg 2.88
W: 0.5000 0.5000 0.5000  4 Cd 2.83, 2 Hg 2.88

Results
Calculated volume = 348 Å³/cell
Magnetization = 6.75 μB per cell
Calculated density = 11.6 g cm⁻³
Calculated formation energy = 4.03 eV/f.u.